Record 1
Crystalline Tm3BeI3 at its relaxed geometry. Source: Alexandria, functional PBE.

Structure (POSCAR):
```
Tm3BeI3
1.0
-9.2763 -3.9729 2.1000
2.3996 -1.8922 -9.8440
7.0581 -4.3164 6.1477
I Tm Be
12 12 4
Cartesian
-1.5816 -3.9952 -2.4294 I
3.7034 -4.7063 2.7068 I
7.5290 -4.7867 3.6548 I
4.2915 -7.6102 -0.1892 I
5.3859 -3.6918 -4.2732 I
6.4215 -4.2952 -0.3072 I
7.0815 -7.0873 -3.2072 I
1.1530 -3.5079 -5.2267 I
3.0347 -7.0205 -4.0928 I
2.4302 -4.1929 -1.4135 I
0.0993 -7.6169 -1.3235 I
-0.9917 -7.0492 -5.0688 I
-5.3221 -6.2540 2.6029 Tm
-0.7818 -6.6397 3.4364 Tm
0.1579 -2.6039 -0.0129 Tm
1.0975 -3.0929 3.2127 Tm
-4.2578 -2.8013 -1.3989 Tm
-7.0821 -5.4003 -5.1853 Tm
-3.7874 -5.4696 -4.3688 Tm
-2.8113 -3.3571 2.3107 Tm
-2.2907 -5.7924 0.0031 Tm
-6.7824 -3.3297 1.6849 Tm
-6.0923 -5.6563 -1.2973 Tm
1.5733 -6.2201 1.0272 Tm
1.7645 -1.0791 1.5369 Be
-4.5928 -4.5318 0.6509 Be
-5.7574 -3.9257 -3.3470 Be
-0.5092 -4.6177 1.6629 Be
```

## Properties
**Space group**: I4_132, No. 214
**E_tot**: -3.849 eV per atom
**Volume**: 30.11 Å³ per atom

=====

Record 2
Crystalline Fe2PCl at its relaxed geometry. Source: Alexandria, functional PBE.

Structure (POSCAR):
```
Fe2PCl
1.0
-1.4977 2.5587 -0.5196
-1.7327 -0.5259 2.4044
4.7566 3.6420 4.2243
Fe Cl P
2 1 1
Cartesian
0.1541 0.1180 0.1369 Fe
-0.4033 1.9443 2.0187 Fe
2.3606 4.0606 4.4733 Cl
1.7931 1.3729 1.5924 P
```

## Properties
**Space group**: P4mm, No. 99
**Volume**: 16.60 Å³ per atom
**ΔE to the lowest computed polymorph**: 214 meV/atom

=====

Record 3
Crystalline SbPt3C at its relaxed geometry. Source: Alexandria, functional PBE.

Structure (POSCAR):
```
SbPt3C
1.0
-0.8483 -1.2164 -4.0427
-1.9113 -3.5661 1.4741
-3.7643 2.0847 0.1626
Pt C Sb
3 1 1
Cartesian
-0.4242 -0.6082 -2.0214 Pt
-1.8822 1.0424 0.0813 Pt
-0.9556 -1.7830 0.7370 Pt
0.0000 0.0000 0.0000 C
-3.2620 -1.3489 -1.2030 Sb
```

## Properties
**Space group**: Pm-3m, No. 221
**Volume**: 15.97 Å³ per atom
**ΔE to the lowest computed polymorph**: 0 meV/atom

=====

Record 4
Crystalline Y4ZnRh at its relaxed geometry. Source: Alexandria, functional PBE.

Structure (POSCAR):
```
Y4ZnRh
1.0
8.2456 0.0000 4.7606
2.7485 7.7740 4.7606
0.0000 0.0000 9.5212
Zn Rh Y
4 4 16
Cartesian
4.4831 1.3302 4.7606 Zn
1.8812 1.3302 6.2628 Zn
1.8812 1.3302 3.2584 Zn
2.7485 3.7833 4.7606 Zn
3.1586 4.7138 9.5212 Rh
5.4971 1.4067 9.5212 Rh
6.6663 4.7138 7.4960 Rh
6.6663 4.7138 11.5463 Rh
3.7708 6.3283 6.5312 Y
10.3462 7.3159 14.2818 Y
5.4970 6.3231 9.5212 Y
8.9496 6.3283 9.5212 Y
7.2233 1.4457 12.5111 Y
4.3486 3.0750 7.5321 Y
9.2959 4.3451 16.1009 Y
4.3486 3.0750 11.5103 Y
7.1953 7.3159 12.4626 Y
9.2959 4.3451 12.4626 Y
2.0445 1.4457 9.5212 Y
7.1953 7.3159 16.1009 Y
7.2233 1.4457 6.5312 Y
7.7939 3.0750 9.5212 Y
3.7708 6.3283 12.5111 Y
6.1450 4.3451 14.2818 Y
```

## Properties
**Space group**: F-43m, No. 216
**ΔH_f (0 K)**: -457.8 meV per atom
**Volume**: 25.43 Å³ per atom
**ΔE to the lowest computed polymorph**: 0 meV/atom

=====

Record 5
Crystalline SiPAu2 at its relaxed geometry. Source: Alexandria, functional PBE.

Structure (POSCAR):
```
SiPAu2
1.0
0.0000 3.2540 3.2540
3.2540 0.0000 3.2540
3.2540 3.2540 0.0000
Au P Si
2 1 1
Cartesian
1.6270 1.6270 1.6270 Au
4.8811 4.8811 4.8811 Au
3.2540 3.2540 3.2540 P
0.0000 0.0000 0.0000 Si
```

## Properties
**Space group**: Fm-3m, No. 225
**Volume**: 17.23 Å³ per atom
**ΔE to the lowest computed polymorph**: 352 meV/atom

=====

Record 6
Crystalline GaAuSCl2 at its relaxed geometry. Source: Alexandria, functional PBE.

Structure (POSCAR):
```
GaAuSCl2
1.0
4.6620 0.0000 0.0000
0.0000 4.6620 0.0000
0.0000 0.0000 5.0713
Ga Cl Au S
1 2 1 1
Cartesian
0.0000 0.0000 0.0000 Ga
0.0000 2.3310 0.0000 Cl
2.3310 0.0000 0.0000 Cl
2.3310 2.3310 2.5356 Au
0.0000 0.0000 2.5356 S
```

## Properties
**Space group**: P4/mmm, No. 123
**Volume**: 22.04 Å³ per atom
**ΔE to the lowest computed polymorph**: 28 meV/atom

=====

Record 7
Crystalline CuIrBr at its relaxed geometry. Source: Alexandria, functional PBE.

Structure (POSCAR):
```
CuIrBr
1.0
3.0890 0.0000 0.0000
-1.5445 2.6752 0.0000
0.0000 0.0000 5.9619
Cu Ir Br
1 1 1
Cartesian
1.5445 0.8917 2.0392 Cu
0.0000 1.7835 3.8793 Ir
0.0000 0.0000 0.0434 Br
```

## Properties
**Space group**: P3m1, No. 156
**Volume**: 16.42 Å³ per atom
**ΔE to the lowest computed polymorph**: 37 meV/atom

=====

Record 8
Crystalline TlIr2Au at its relaxed geometry. Source: Alexandria, functional PBE.

Structure (POSCAR):
```
TlIr2Au
1.0
-0.4040 -2.3764 -1.4845
1.8451 -1.8835 2.5130
-6.2060 -1.2201 3.6421
Ir Au Tl
2 1 1
Cartesian
-0.2009 -0.0395 0.1179 Ir
-0.4874 -2.3674 1.2231 Ir
-4.1589 -3.0892 3.3778 Au
-3.0208 -0.5939 1.7728 Tl
```

## Properties
**Space group**: Pmm2, No. 25
**ΔH_f (0 K)**: 400.4 meV per atom
**Volume**: 18.81 Å³ per atom
**ΔE to the lowest computed polymorph**: 15 meV/atom

=====

The lowest volume belongs to which entry?
SbPt3C

=====

The lowest volume belongs to which entry?
SbPt3C